Entry 1:
A relaxed structure of CrCu2Pt. Source: Alexandria via LeMat-Bulk, functional PBE-GGA. Values from VASP.

Calculated values
VASP energy ... -5.95 eV/atom
Space group ... No. 99
DFT formation energy ... 0.019 eV per atom

Structure (Quantum ESPRESSO input):
```
&SYSTEM
  ibrav = 0, nat = 4, ntyp = 3
/
ATOMIC_SPECIES
Cr 52.00 Cr.upf
Cu 63.55 Cu.upf
Pt 195.08 Pt.upf
ATOMIC_POSITIONS angstrom
Cr 0.000 0.000 0.000
Cu 0.000 0.000 3.421
Cu 1.349 1.349 1.754
Pt 1.349 1.349 5.354
CELL_PARAMETERS angstrom
2.698 0.000 0.000
0.000 2.698 0.000
0.000 0.000 7.144
```

=====

Entry 2:
A relaxed structure of CrCu2Pt. Source: Alexandria via LeMat-Bulk, functional PBE-GGA. Values from VASP.

Calculated values
VASP energy ... -5.76 eV/atom
Space group ... No. 65
DFT formation energy ... 0.200 eV per atom

Structure (Quantum ESPRESSO input):
```
&SYSTEM
  ibrav = 0, nat = 4, ntyp = 3
/
ATOMIC_SPECIES
Cr 52.00 Cr.upf
Cu 63.55 Cu.upf
Pt 195.08 Pt.upf
ATOMIC_POSITIONS angstrom
Cr 0.000 0.000 0.000
Cu 1.376 0.000 2.113
Cu 1.376 0.000 6.686
Pt 0.000 0.000 4.400
CELL_PARAMETERS angstrom
1.376 -2.189 0.000
1.376 2.189 0.000
0.000 0.000 8.799
```

=====

Entry 3:
A relaxed structure of CrCuPt2. Source: Alexandria via LeMat-Bulk, functional PBE-GGA. Values from VASP.

Calculated values
VASP energy ... -6.62 eV/atom
Space group ... No. 65
DFT formation energy ... -0.170 eV per atom

Structure (Quantum ESPRESSO input):
```
&SYSTEM
  ibrav = 0, nat = 4, ntyp = 3
/
ATOMIC_SPECIES
Cr 52.00 Cr.upf
Cu 63.55 Cu.upf
Pt 195.08 Pt.upf
ATOMIC_POSITIONS angstrom
Cr 0.000 0.000 0.000
Cu 2.780 0.000 0.000
Pt 1.390 1.833 1.406
Pt 1.390 -1.833 1.406
CELL_PARAMETERS angstrom
2.780 -3.667 0.000
2.780 3.667 0.000
0.000 0.000 2.812
```

=====

Entry 4:
A relaxed structure of CrCu2Pt. Source: Alexandria via LeMat-Bulk, functional PBE-GGA. Values from VASP.

Calculated values
VASP energy ... -5.96 eV/atom
Space group ... No. 12
DFT formation energy ... 0.005 eV per atom

Structure (Quantum ESPRESSO input):
```
&SYSTEM
  ibrav = 0, nat = 4, ntyp = 3
/
ATOMIC_SPECIES
Cr 52.00 Cr.upf
Cu 63.55 Cu.upf
Pt 195.08 Pt.upf
ATOMIC_POSITIONS angstrom
Cr 0.000 0.000 0.000
Cu 1.546 0.000 3.351
Cu 6.436 0.000 1.097
Pt 3.991 0.000 2.224
CELL_PARAMETERS angstrom
4.437 -1.383 0.000
4.437 1.383 0.000
-0.893 0.000 4.448
```

=====

Entry 5:
A relaxed structure of CrCu2Pt. Source: Alexandria via LeMat-Bulk, functional PBE-GGA. Values from VASP.

Calculated values
VASP energy ... -6.01 eV/atom
Space group ... No. 119
DFT formation energy ... -0.042 eV per atom

Structure (Quantum ESPRESSO input):
```
&SYSTEM
  ibrav = 0, nat = 4, ntyp = 3
/
ATOMIC_SPECIES
Cr 52.00 Cr.upf
Cu 63.55 Cu.upf
Pt 195.08 Pt.upf
ATOMIC_POSITIONS angstrom
Cr 0.000 0.000 0.000
Cu 1.899 0.000 1.869
Cu 0.000 0.000 3.737
Pt 0.000 1.899 1.869
CELL_PARAMETERS angstrom
-1.899 1.899 3.737
1.899 -1.899 3.737
1.899 1.899 -3.737
```

=====

Entry 6:
A relaxed structure of CrCuPt2. Source: Alexandria via LeMat-Bulk, functional PBE-GGA. Values from VASP.

Calculated values
VASP energy ... -6.68 eV/atom
Space group ... No. 47
DFT formation energy ... -0.225 eV per atom

Structure (Quantum ESPRESSO input):
```
&SYSTEM
  ibrav = 0, nat = 4, ntyp = 3
/
ATOMIC_SPECIES
Cr 52.00 Cr.upf
Cu 63.55 Cu.upf
Pt 195.08 Pt.upf
ATOMIC_POSITIONS angstrom
Cr 0.000 0.000 0.000
Cu 0.000 0.000 2.770
Pt 1.413 1.811 1.385
Pt 1.413 1.811 4.156
CELL_PARAMETERS angstrom
2.825 0.000 0.000
0.000 3.621 0.000
0.000 0.000 5.541
```

=====

Entry 7:
A relaxed structure of CrCuPtRh. Source: Alexandria via LeMat-Bulk, functional PBE-GGA. Values from VASP.

Calculated values
VASP energy ... -6.86 eV/atom
Space group ... No. 216
DFT formation energy ... -0.081 eV per atom

Structure (Quantum ESPRESSO input):
```
&SYSTEM
  ibrav = 0, nat = 4, ntyp = 4
/
ATOMIC_SPECIES
Cr 52.00 Cr.upf
Cu 63.55 Cu.upf
Pt 195.08 Pt.upf
Rh 102.91 Rh.upf
ATOMIC_POSITIONS angstrom
Cr 0.000 0.000 0.000
Cu 3.024 3.024 3.024
Pt 4.536 4.536 4.536
Rh 1.512 1.512 1.512
CELL_PARAMETERS angstrom
0.000 3.024 3.024
3.024 0.000 3.024
3.024 3.024 0.000
```

=====

Entry 8:
A relaxed structure of Cr2CuPtSe. Source: Alexandria via LeMat-Bulk, functional PBE-GGA. Values from VASP.

Calculated values
VASP energy ... -5.65 eV/atom
Space group ... No. 123
E_form (uncorrected) ... 88.74 kJ/mol of atoms

Structure (Quantum ESPRESSO input):
```
&SYSTEM
  ibrav = 0, nat = 5, ntyp = 4
/
ATOMIC_SPECIES
Cr 52.00 Cr.upf
Cu 63.55 Cu.upf
Pt 195.08 Pt.upf
Se 78.96 Se.upf
ATOMIC_POSITIONS angstrom
Cr 0.000 2.330 0.000
Cr 2.330 0.000 0.000
Cu 0.000 0.000 0.000
Pt 0.000 0.000 2.287
Se 2.330 2.330 2.287
CELL_PARAMETERS angstrom
4.660 0.000 0.000
0.000 4.660 0.000
0.000 0.000 4.574
```

=====

Entry 9:
A relaxed structure of CrCuSnPt. Source: Alexandria via LeMat-Bulk, functional PBE-GGA. Values from VASP.

Calculated values
VASP energy ... -6.00 eV/atom
Space group ... No. 216
DFT formation energy ... -0.059 eV per atom

Structure (Quantum ESPRESSO input):
```
&SYSTEM
  ibrav = 0, nat = 4, ntyp = 4
/
ATOMIC_SPECIES
Cr 52.00 Cr.upf
Cu 63.55 Cu.upf
Sn 118.71 Sn.upf
Pt 195.08 Pt.upf
ATOMIC_POSITIONS angstrom
Cr 0.000 0.000 0.000
Cu 4.751 4.751 4.751
Sn 1.584 1.584 1.584
Pt 3.167 3.167 3.167
CELL_PARAMETERS angstrom
0.000 3.167 3.167
3.167 0.000 3.167
3.167 3.167 0.000
```

=====

Entry 10:
A relaxed structure of CrCuTc2Pt. Source: Alexandria via LeMat-Bulk, functional PBE-GGA. Values from VASP.

Calculated values
VASP energy ... -6.87 eV/atom
Space group ... No. 123
DFT formation energy ... 1.231 eV per atom

Structure (Quantum ESPRESSO input):
```
&SYSTEM
  ibrav = 0, nat = 5, ntyp = 4
/
ATOMIC_SPECIES
Cr 52.00 Cr.upf
Cu 63.55 Cu.upf
Tc 98.00 Tc.upf
Pt 195.08 Pt.upf
ATOMIC_POSITIONS angstrom
Cr 0.000 0.000 0.000
Cu 2.185 2.185 2.323
Tc 0.000 2.185 0.000
Tc 2.185 0.000 0.000
Pt 0.000 0.000 2.323
CELL_PARAMETERS angstrom
4.369 0.000 0.000
0.000 4.369 0.000
0.000 0.000 4.646
```

=====

Entry 11:
A relaxed structure of CrCu2TcPt. Source: Alexandria via LeMat-Bulk, functional PBE-GGA. Values from VASP.

Calculated values
VASP energy ... -5.07 eV/atom
Space group ... No. 123
DFT formation energy ... 1.779 eV per atom

Structure (Quantum ESPRESSO input):
```
&SYSTEM
  ibrav = 0, nat = 5, ntyp = 4
/
ATOMIC_SPECIES
Cr 52.00 Cr.upf
Cu 63.55 Cu.upf
Tc 98.00 Tc.upf
Pt 195.08 Pt.upf
ATOMIC_POSITIONS angstrom
Cr 0.000 0.000 0.000
Cu 0.000 2.276 2.361
Cu 2.276 0.000 2.361
Tc 2.276 2.276 2.361
Pt 2.276 2.276 0.000
CELL_PARAMETERS angstrom
4.553 0.000 0.000
0.000 4.553 0.000
0.000 0.000 4.722
```

=====

Entry 12:
A relaxed structure of TiCrCuPt2. Source: Alexandria via LeMat-Bulk, functional PBE-GGA. Values from VASP.

Calculated values
VASP energy ... -6.03 eV/atom
Space group ... No. 123
DFT formation energy ... 0.705 eV per atom

Structure (Quantum ESPRESSO input):
```
&SYSTEM
  ibrav = 0, nat = 5, ntyp = 4
/
ATOMIC_SPECIES
Ti 47.87 Ti.upf
Cr 52.00 Cr.upf
Cu 63.55 Cu.upf
Pt 195.08 Pt.upf
ATOMIC_POSITIONS angstrom
Ti 0.000 0.000 0.000
Cr 2.323 2.323 0.000
Cu 0.000 0.000 2.143
Pt 0.000 2.323 2.143
Pt 2.323 0.000 2.143
CELL_PARAMETERS angstrom
4.646 0.000 0.000
0.000 4.646 0.000
0.000 0.000 4.286
```

=====

Entry 13:
A relaxed structure of ZnCrCuPt. Source: Alexandria via LeMat-Bulk, functional PBE-GGA. Values from VASP.

Calculated values
VASP energy ... -5.37 eV/atom
Space group ... No. 216
DFT formation energy ... -0.114 eV per atom

Structure (Quantum ESPRESSO input):
```
&SYSTEM
  ibrav = 0, nat = 4, ntyp = 4
/
ATOMIC_SPECIES
Zn 65.41 Zn.upf
Cr 52.00 Cr.upf
Cu 63.55 Cu.upf
Pt 195.08 Pt.upf
ATOMIC_POSITIONS angstrom
Zn 0.000 0.000 0.000
Cr 4.571 4.571 4.571
Cu 3.048 3.048 3.048
Pt 1.524 1.524 1.524
CELL_PARAMETERS angstrom
0.000 3.048 3.048
3.048 0.000 3.048
3.048 3.048 0.000
```

=====

Entry 14:
A relaxed structure of PuCrCu4. Source: Alexandria via LeMat-Bulk, functional PBE-GGA. Values from VASP.

Calculated values
VASP energy ... -6.55 eV/atom
Space group ... No. 216
DFT formation energy ... 0.170 eV per atom

Structure (Quantum ESPRESSO input):
```
&SYSTEM
  ibrav = 0, nat = 6, ntyp = 3
/
ATOMIC_SPECIES
Pu 244.00 Pu.upf
Cr 52.00 Cr.upf
Cu 63.55 Cu.upf
ATOMIC_POSITIONS angstrom
Pu 0.000 0.000 0.000
Cr 1.794 1.794 1.794
Cu 4.476 2.701 2.701
Cu 2.701 4.476 2.701
Cu 2.701 2.701 4.476
Cu 4.476 4.476 4.476
CELL_PARAMETERS angstrom
0.000 3.589 3.589
3.589 0.000 3.589
3.589 3.589 0.000
```